Compound: SbP4O12
Source: Alexandria via LeMat-Bulk
Functional: PBE
Structure: optimized geometry

a = 10.003 Å, b = 11.680 Å, c = 17.326 Å
α = 90.00°, β = 90.00°, γ = 90.00°
Space group C222_1 (No. 20)
Symmetry-distinct sites (fractional):
Sb (0.217, 0.188, 0.137) [8 per cell]
P (0.000, 0.367, 0.750) [4 per cell]
P (0.050, 0.266, 0.485) [8 per cell]
P (0.111, 0.143, 0.341) [8 per cell]
P (0.156, 0.500, 0.500) [4 per cell]
P (0.198, 0.470, 0.197) [8 per cell]
O (0.032, 0.098, 0.152) [8 per cell]
O (0.053, 0.404, 0.474) [8 per cell]
O (0.064, 0.450, 0.813) [8 per cell]
O (0.094, 0.229, 0.026) [8 per cell]
O (0.100, 0.293, 0.708) [8 per cell]
O (0.120, 0.235, 0.559) [8 per cell]
O (0.141, 0.225, 0.414) [8 per cell]
O (0.156, 0.205, 0.271) [8 per cell]
O (0.159, 0.361, 0.153) [8 per cell]
O (0.201, 0.034, 0.362) [8 per cell]
O (0.238, 0.461, 0.568) [8 per cell]
O (0.244, 0.471, 0.278) [8 per cell]

## Properties
offset from the most stable computed form	7	meV per atom
formation energy from raw total energies	-1.878	eV/atom

=====

Compound: Tb3Dy2Hg3
Source: Alexandria via LeMat-Bulk
Functional: PBE
Structure: optimized geometry

a = 3.732 Å, b = 5.327 Å, c = 22.115 Å
α = 90.00°, β = 90.00°, γ = 90.00°
Space group Immm (No. 71)
Symmetry-distinct sites (fractional):
Tb (0.000, 0.000, 0.000) [2 per cell]
Tb (0.000, 0.500, 0.121) [4 per cell]
Dy (0.000, 0.000, 0.232) [4 per cell]
Hg (0.000, 0.000, 0.500) [2 per cell]
Hg (0.000, 0.500, 0.381) [4 per cell]

## Properties
total DFT energy (no corrections)	-3.36	eV per atom

=====

Compound: Y6As3SeS2
Source: Alexandria via LeMat-Bulk
Functional: PBE
Structure: optimized geometry

a = 17.680 Å, b = 4.062 Å, c = 8.098 Å
α = 90.00°, β = 103.10°, γ = 90.00°
Space group C2/m (No. 12)
Symmetry-distinct sites (fractional):
Y (0.001, 0.000, 0.258) [4 per cell]
Y (0.167, 0.500, 0.583) [4 per cell]
Y (0.170, 0.500, 0.086) [4 per cell]
As (0.000, 0.500, 0.500) [2 per cell]
As (0.165, 0.000, 0.832) [4 per cell]
Se (0.000, 0.500, 0.000) [2 per cell]
S (0.167, 0.000, 0.334) [4 per cell]

## Properties
formation energy from raw total energies	-1.775	eV/atom

=====

Compound: Ti3V5Te12
Source: Alexandria via LeMat-Bulk
Functional: PBE
Structure: optimized geometry

a = 16.416 Å, b = 16.416 Å, c = 16.416 Å
α = 90.00°, β = 90.00°, γ = 90.00°
Space group Ia-3d (No. 230)
Symmetry-distinct sites (fractional):
Ti (0.000, 0.250, 0.125) [24 per cell]
V (0.000, 0.000, 0.000) [16 per cell]
V (0.000, 0.250, 0.375) [24 per cell]
Te (0.026, 0.071, 0.650) [96 per cell]

## Properties
formation energy from raw total energies	-0.132	eV/atom

=====

Compound: La6YTh3
Source: Alexandria via LeMat-Bulk
Functional: PBE
Structure: optimized geometry

a = 10.893 Å, b = 5.763 Å, c = 11.641 Å
α = 90.00°, β = 96.05°, γ = 90.00°
Space group P2_1/m (No. 11)
Symmetry-distinct sites (fractional):
La (0.045, 0.250, 0.108) [2 per cell]
La (0.159, 0.250, 0.748) [2 per cell]
La (0.289, 0.750, 0.087) [2 per cell]
La (0.307, 0.750, 0.534) [2 per cell]
La (0.335, 0.250, 0.323) [2 per cell]
La (0.352, 0.750, 0.811) [2 per cell]
Y (0.466, 0.250, 0.670) [2 per cell]
Th (0.028, 0.250, 0.430) [2 per cell]
Th (0.129, 0.750, 0.301) [2 per cell]
Th (0.404, 0.250, 0.981) [2 per cell]

## Properties
total DFT energy (no corrections)	-5.69	eV per atom

=====

Compound: IClO2
Source: Alexandria via LeMat-Bulk
Functional: PBE
Structure: optimized geometry

a = 6.381 Å, b = 6.381 Å, c = 9.596 Å
α = 90.00°, β = 90.00°, γ = 90.00°
Space group I4_1/amd (No. 141, origin choice 2)
Symmetry-distinct sites (fractional):
I (0.000, 0.250, 0.375) [4 per cell]
Cl (0.000, 0.250, 0.875) [4 per cell]
O (0.000, 0.000, 0.500) [8 per cell]

## Properties
offset from the most stable computed form	508	meV per atom
formation energy from raw total energies	0.354	eV/atom

=====

Compound: AcHg6Bi
Source: Alexandria via LeMat-Bulk
Functional: PBE
Structure: optimized geometry

a = 5.599 Å, b = 6.467 Å, c = 7.143 Å
α = 68.34°, β = 89.84°, γ = 73.79°
Space group P-1 (No. 2)
Symmetry-distinct sites (fractional):
Ac (0.000, 0.000, 0.000) [1 per cell]
Hg (0.258, 0.480, 0.881) [2 per cell]
Hg (0.260, 0.483, 0.382) [2 per cell]
Hg (0.499, 0.004, 0.734) [2 per cell]
Bi (0.000, 0.000, 0.500) [1 per cell]

## Properties
offset from the most stable computed form	18	meV per atom

=====

Compound: NdSbPbAu
Source: Alexandria via LeMat-Bulk
Functional: PBE
Structure: optimized geometry

a = 7.587 Å, b = 7.587 Å, c = 7.587 Å
α = 90.00°, β = 90.00°, γ = 90.00°
Space group F-43m (No. 216)
Symmetry-distinct sites (fractional):
Nd (0.000, 0.000, 0.000) [4 per cell]
Sb (0.250, 0.250, 0.250) [4 per cell]
Pb (0.000, 0.000, 0.500) [4 per cell]
Au (0.250, 0.250, 0.750) [4 per cell]

## Properties
formation energy from raw total energies	-0.467	eV/atom